Compound: Li2PrSbO
Source: the Alexandria database
Functional: GGA-PBE
Structure: relaxed

Unit cell a=3.745 b=6.354 c=7.734 alpha=90.00 beta=90.00 gamma=107.14
Fractional coordinates of all 10 atoms:
Pr1 0.467 0.934 0.750
Pr2 0.533 0.066 0.250
O1 0.000 0.000 0.000
O2 0.000 0.000 0.500
Sb1 0.738 0.477 0.750
Sb2 0.262 0.523 0.250
Li1 0.153 0.306 0.546
Li2 0.847 0.694 0.046
Li3 0.153 0.306 0.954
Li4 0.847 0.694 0.454

energy relative to the elements, uncorrected	-1.415	eV/atom
spin magnetization	0.0000	μB/atom
Fermi-level density of states	0.13	states/eV per atom
VASP energy	-4.95	eV per atom



Compound: Li3PrSe4O12
Source: the Alexandria database
Functional: GGA-PBE
Structure: relaxed

Unit cell a=6.773 b=6.773 c=6.773 alpha=105.85 beta=105.85 gamma=105.85
Fractional coordinates of all 20 atoms:
O1 0.056 0.944 0.500
O2 0.944 0.500 0.056
O3 0.662 0.753 0.996
O4 0.247 0.338 0.004
O5 0.753 0.996 0.662
O6 0.348 0.652 0.500
O7 0.500 0.056 0.944
O8 0.652 0.500 0.348
O9 0.338 0.004 0.247
O10 0.004 0.247 0.338
O11 0.500 0.348 0.652
O12 0.996 0.662 0.753
Li1 0.000 0.575 0.425
Li2 0.575 0.425 0.000
Li3 0.425 0.000 0.575
Se1 0.100 0.500 0.900
Se2 0.500 0.900 0.100
Se3 0.500 0.500 0.500
Se4 0.900 0.100 0.500
Pr1 0.000 0.000 0.000

energy relative to the elements, uncorrected	-1.066	eV/atom
spin magnetization	0.0000	μB/atom
Fermi-level density of states	0.22	states/eV per atom
VASP energy	-5.26	eV per atom



Compound: LiPrSe2O6
Source: the Alexandria database
Functional: GGA-PBE
Structure: relaxed

Unit cell a=5.346 b=5.346 c=6.666 alpha=66.36 beta=66.36 gamma=60.00
Fractional coordinates of all 10 atoms:
O1 0.945 0.536 0.246
O2 0.536 0.272 0.246
O3 0.272 0.945 0.246
O4 0.464 0.728 0.754
O5 0.055 0.464 0.754
O6 0.728 0.055 0.754
Li1 0.500 0.500 0.500
Pr1 0.000 0.000 0.000
Se1 0.790 0.790 0.631
Se2 0.210 0.210 0.369

energy relative to the elements, uncorrected	-1.678	eV/atom
spin magnetization	0.0000	μB/atom
Fermi-level density of states	0.00	states/eV per atom
VASP energy	-6.02	eV per atom



Compound: LiPr2SiO
Source: the Alexandria database
Functional: GGA-PBE
Structure: relaxed

Unit cell a=4.095 b=4.954 c=4.954 alpha=90.00 beta=90.00 gamma=90.00
Fractional coordinates of all 5 atoms:
Li1 0.500 0.000 0.000
Pr1 0.000 0.000 0.500
Pr2 0.000 0.500 0.000
O1 0.000 0.000 0.000
Si1 0.500 0.500 0.500

energy relative to the elements, uncorrected	-1.402	eV/atom
spin magnetization	0.0000	μB/atom
Fermi-level density of states	0.40	states/eV per atom
VASP energy	-5.77	eV per atom



Compound: LiPr2SnO5
Source: the Alexandria database
Functional: GGA-PBE
Structure: relaxed

Unit cell a=6.214 b=6.872 c=6.872 alpha=90.00 beta=90.00 gamma=90.00
Fractional coordinates of all 18 atoms:
O1 0.254 0.641 0.859
O2 0.746 0.359 0.141
O3 0.746 0.641 0.859
O4 0.254 0.359 0.141
O5 0.254 0.859 0.359
O6 0.500 0.500 0.500
O7 0.746 0.859 0.359
O8 0.254 0.141 0.641
O9 0.746 0.141 0.641
O10 0.500 0.000 0.000
Li1 0.000 0.000 0.000
Li2 0.000 0.500 0.500
Sn1 0.000 0.500 0.000
Sn2 0.000 0.000 0.500
Pr1 0.500 0.823 0.677
Pr2 0.500 0.677 0.177
Pr3 0.500 0.323 0.823
Pr4 0.500 0.177 0.323

energy relative to the elements, uncorrected	-2.165	eV/atom
spin magnetization	0.0965	μB/atom
Fermi-level density of states	0.25	states/eV per atom
VASP energy	-6.64	eV per atom



Compound: Li2Pr3TaO9
Source: the Alexandria database
Functional: GGA-PBE
Structure: relaxed

Unit cell a=5.484 b=5.484 c=6.945 alpha=90.00 beta=90.00 gamma=120.00
Fractional coordinates of all 15 atoms:
O1 0.836 0.673 0.674
O2 0.673 0.836 0.326
O3 0.500 0.000 0.000
O4 0.164 0.836 0.326
O5 0.164 0.327 0.326
O6 0.500 0.500 0.000
O7 0.327 0.164 0.674
O8 0.836 0.164 0.674
O9 0.000 0.500 0.000
Ta1 0.000 0.000 0.500
Pr1 0.000 0.000 0.000
Pr2 0.667 0.333 0.277
Pr3 0.333 0.667 0.723
Li1 0.667 0.333 0.813
Li2 0.333 0.667 0.187

energy relative to the elements, uncorrected	-2.555	eV/atom
spin magnetization	0.1381	μB/atom
Fermi-level density of states	0.58	states/eV per atom
VASP energy	-7.53	eV per atom